# Be2PBr

A relaxed structure of Be2PBr (PBE, Alexandria via LeMat-Bulk).

* distance to the lowest polymorph of the same formula: 0.000 eV per atom
* magnetization: 0.000 μB per cell

CIF file:
```
data_Be2PBr
_cell_length_a 5.204
_cell_length_b 5.204
_cell_length_c 6.375
_cell_angle_alpha 65.91
_cell_angle_beta 65.91
_cell_angle_gamma 90.00
_symmetry_space_group_name_H-M 'P 1'
_symmetry_Int_Tables_number 1
loop_
_symmetry_equiv_pos_as_xyz
'x,y,z'
loop_
_atom_site_label
_atom_site_fract_x
_atom_site_fract_y
_atom_site_fract_z
Br1 0.750 0.250 0.500
Br2 0.000 0.000 0.000
Be1 0.181 0.625 0.250
Be2 0.875 0.819 0.750
Be3 0.569 0.125 0.250
Be4 0.375 0.431 0.750
P1 0.250 0.750 0.500
P2 0.500 0.500 0.000
```